1.
Density functional theory data (GGA-PBE) for NdSmZnBi after structural relaxation.

The structure in POSCAR format:
```
NdSmZnBi
1.0
0.000 3.824 3.824
3.824 0.000 3.824
3.824 3.824 0.000
Nd Sm Zn Bi
1 1 1 1
Direct
0.000 0.000 0.000
0.500 0.500 0.500
0.750 0.750 0.750
0.250 0.250 0.250
```

Values from the calculation:
DFT formation energy, eV/atom: -0.4532
Symmetry: F-43m, No. 216

2.
Density functional theory data (GGA-PBE) for Nd7Sn2Bi2 after structural relaxation.

The structure in POSCAR format:
```
Nd7Sn2Bi2
1.0
4.896 -5.808 0.000
4.896 5.808 0.000
0.000 0.000 6.986
Nd Sn Bi
7 2 2
Direct
0.000 0.000 0.000
0.000 0.500 0.271
0.000 0.500 0.729
0.500 0.000 0.271
0.500 0.000 0.729
0.500 0.500 0.257
0.500 0.500 0.743
0.273 0.727 0.000
0.727 0.273 0.000
0.194 0.194 0.500
0.806 0.806 0.500
```

Values from the calculation:
DFT formation energy, eV/atom: -0.3717
Symmetry: Cmmm, No. 65

3.
Density functional theory data (GGA-PBE) for Nd2SnBi5 after structural relaxation.

The structure in POSCAR format:
```
Nd2SnBi5
1.0
9.727 0.000 0.000
0.000 11.313 0.000
0.000 0.000 4.627
Nd Sn Bi
4 2 10
Direct
0.064 0.203 0.000
0.436 0.703 0.000
0.564 0.297 0.000
0.936 0.797 0.000
0.000 0.500 0.500
0.500 0.000 0.500
0.000 0.000 0.500
0.184 0.738 0.500
0.225 0.467 0.000
0.275 0.967 0.000
0.316 0.238 0.500
0.500 0.500 0.500
0.684 0.762 0.500
0.725 0.033 0.000
0.775 0.533 0.000
0.816 0.262 0.500
```

Values from the calculation:
DFT formation energy, eV/atom: -0.4201
Symmetry: Pbam, No. 55

4.
Density functional theory data (GGA-PBE) for Nd5SnBi5 after structural relaxation.

The structure in POSCAR format:
```
Nd5SnBi5
1.0
7.212 -3.215 0.000
7.212 3.215 0.000
-2.934 0.000 8.641
Nd Sn Bi
5 1 5
Direct
0.000 0.000 0.000
0.330 0.330 0.163
0.332 0.332 0.668
0.668 0.668 0.332
0.670 0.670 0.837
0.500 0.500 0.000
0.157 0.157 0.816
0.163 0.163 0.339
0.500 0.500 0.500
0.837 0.837 0.661
0.843 0.843 0.184
```

Values from the calculation:
DFT formation energy, eV/atom: -0.6013
Symmetry: C2/m, No. 12

5.
Density functional theory data (GGA-PBE) for Nd5SnBi2 after structural relaxation.

The structure in POSCAR format:
```
Nd5SnBi2
1.0
-4.184 4.184 3.551
4.184 -4.184 3.551
4.184 4.184 -3.551
Nd Sn Bi
5 1 2
Direct
0.000 0.000 0.000
0.000 0.000 0.500
0.000 0.500 0.000
0.500 0.000 0.000
0.500 0.500 0.500
0.499 0.499 0.000
0.000 0.500 0.500
0.500 0.000 0.500
```

Values from the calculation:
DFT formation energy, eV/atom: -0.5083
Symmetry: I4mm, No. 107

6.
Density functional theory data (GGA-PBE) for NdSn4Bi after structural relaxation.

The structure in POSCAR format:
```
NdSn4Bi
1.0
0.000 4.407 4.407
4.407 0.000 4.407
4.407 4.407 0.000
Nd Sn Bi
1 4 1
Direct
0.000 0.000 0.000
0.124 0.625 0.625
0.625 0.124 0.625
0.625 0.625 0.124
0.625 0.625 0.625
0.250 0.250 0.250
```

Values from the calculation:
DFT formation energy, eV/atom: -0.1981
Symmetry: F-43m, No. 216

7.
Density functional theory data (GGA-PBE) for Nd4SnBi after structural relaxation.

The structure in POSCAR format:
```
Nd4SnBi
1.0
2.870 -11.350 0.000
2.870 11.350 0.000
0.000 0.000 6.562
Nd Sn Bi
8 2 2
Direct
0.069 0.931 0.750
0.214 0.786 0.502
0.214 0.786 0.998
0.368 0.632 0.750
0.632 0.368 0.250
0.786 0.214 0.002
0.786 0.214 0.498
0.931 0.069 0.250
0.346 0.654 0.250
0.654 0.346 0.750
0.071 0.929 0.250
0.929 0.071 0.750
```

Values from the calculation:
DFT formation energy, eV/atom: -0.4743
Symmetry: Cmcm, No. 63

8.
Density functional theory data (GGA-PBE) for Nd3SnBi after structural relaxation.

The structure in POSCAR format:
```
Nd3SnBi
1.0
8.335 0.000 0.000
0.000 4.426 0.000
-2.205 0.000 8.883
Nd Sn Bi
6 2 2
Direct
0.152 0.250 0.100
0.222 0.250 0.468
0.329 0.750 0.851
0.671 0.250 0.149
0.778 0.750 0.532
0.848 0.750 0.900
0.038 0.250 0.734
0.962 0.750 0.266
0.428 0.750 0.255
0.572 0.250 0.745
```

Values from the calculation:
DFT formation energy, eV/atom: -0.6211
Symmetry: P2_1/m, No. 11